DFT (PBE) results for a geometry-optimized Ga2RhCl8 structure.

Cell and atoms, written as CIF:
```
data_Ga2RhCl8
_chemical_formula_sum 'Ga4 Rh2 Cl16'
_cell_length_a 8.439
_cell_length_b 9.913
_cell_length_c 10.061
_cell_angle_alpha 73.15
_cell_angle_beta 65.20
_cell_angle_gamma 64.81
_space_group_name_H-M_alt 'P 1'
_space_group_IT_number 1
loop_
_space_group_symop_operation_xyz
'x,y,z'
loop_
_atom_site_label
_atom_site_fract_x
_atom_site_fract_y
_atom_site_fract_z
Ga1 0.837 0.873 0.965
Ga2 0.325 0.373 0.465
Ga3 0.675 0.627 0.535
Ga4 0.163 0.127 0.035
Rh1 0.988 0.750 0.250
Rh2 0.012 0.250 0.750
Cl1 0.387 0.754 0.564
Cl2 0.131 0.944 0.222
Cl3 0.709 0.951 0.186
Cl4 0.160 0.226 0.496
Cl5 0.291 0.049 0.814
Cl6 0.882 0.274 0.004
Cl7 0.840 0.774 0.504
Cl8 0.154 0.451 0.686
Cl9 0.118 0.726 0.996
Cl10 0.705 0.746 0.936
Cl11 0.702 0.444 0.722
Cl12 0.298 0.556 0.278
Cl13 0.295 0.254 0.064
Cl14 0.846 0.549 0.314
Cl15 0.613 0.246 0.436
Cl16 0.869 0.056 0.778
```

Computed properties:
V   685.0 Å³ per cell
Final energy   -3.46 eV per atom
Formation energy (no corrections)   -0.894 eV/atom
N(E_F)   0.3 states/eV/cell

DFT (PBE) results for a geometry-optimized Ga3RhCl structure.

Cell and atoms, written as CIF:
```
data_Ga3RhCl
_chemical_formula_sum 'Ga3 Rh1 Cl1'
_cell_length_a 4.883
_cell_length_b 4.883
_cell_length_c 4.883
_cell_angle_alpha 90.00
_cell_angle_beta 90.00
_cell_angle_gamma 90.00
_space_group_name_H-M_alt 'P 1'
_space_group_IT_number 1
loop_
_space_group_symop_operation_xyz
'x,y,z'
loop_
_atom_site_label
_atom_site_fract_x
_atom_site_fract_y
_atom_site_fract_z
Rh1 0.500 0.500 0.500
Ga1 0.000 0.500 0.000
Ga2 0.000 0.000 0.500
Ga3 0.500 0.000 0.000
Cl1 0.000 0.000 0.000
```

Computed properties:
V   116.4 Å³ per cell
Final energy   -2.89 eV per atom
Formation energy (no corrections)   0.761 eV/atom
N(E_F)   4.5 states/eV/cell

DFT (PBE) results for a geometry-optimized Ga3RhCl structure.

Cell and atoms, written as CIF:
```
data_Ga3RhCl
_chemical_formula_sum 'Ga3 Rh1 Cl1'
_cell_length_a 4.830
_cell_length_b 4.830
_cell_length_c 4.830
_cell_angle_alpha 90.00
_cell_angle_beta 90.00
_cell_angle_gamma 90.00
_space_group_name_H-M_alt 'P 1'
_space_group_IT_number 1
loop_
_space_group_symop_operation_xyz
'x,y,z'
loop_
_atom_site_label
_atom_site_fract_x
_atom_site_fract_y
_atom_site_fract_z
Rh1 0.000 0.000 0.000
Ga1 0.000 0.500 0.000
Ga2 0.000 0.000 0.500
Ga3 0.500 0.000 0.000
Cl1 0.500 0.500 0.500
```

Computed properties:
V   112.6 Å³ per cell
Final energy   -4.18 eV per atom
Formation energy (no corrections)   -0.524 eV/atom
N(E_F)   2.0 states/eV/cell

DFT (PBE) results for a geometry-optimized GaRhCl3 structure.

Cell and atoms, written as CIF:
```
data_GaRhCl3
_chemical_formula_sum 'Ga1 Rh1 Cl3'
_cell_length_a 4.912
_cell_length_b 4.912
_cell_length_c 4.912
_cell_angle_alpha 90.00
_cell_angle_beta 90.00
_cell_angle_gamma 90.00
_space_group_name_H-M_alt 'P 1'
_space_group_IT_number 1
loop_
_space_group_symop_operation_xyz
'x,y,z'
loop_
_atom_site_label
_atom_site_fract_x
_atom_site_fract_y
_atom_site_fract_z
Rh1 0.500 0.500 0.500
Ga1 0.000 0.000 0.000
Cl1 0.000 0.500 0.000
Cl2 0.000 0.000 0.500
Cl3 0.500 0.000 0.000
```

Computed properties:
V   118.5 Å³ per cell
Final energy   -3.06 eV per atom
Formation energy (no corrections)   0.127 eV/atom
N(E_F)   8.2 states/eV/cell